(1)
A relaxed NaScMo2Pd crystal. Source: Alexandria via LeMat-Bulk, functional PBE-GGA.

Unit cell a=4.5443 b=4.7345 c=4.5443 alpha=90.00 beta=90.00 gamma=90.00
Element x y z (fractional)
Mo: 0.5000 0.0000 0.0000
Sc: 0.0000 0.5000 0.0000
Na: 0.0000 0.0000 0.0000
Pd: 0.5000 0.5000 0.5000
Mo: 0.0000 0.0000 0.5000

Values from the calculation:
DOS at the Fermi energy: 7.9 states/eV/f.u.
E_tot: -24.31 eV/f.u.
Formation energy: 2040 meV/atom



(2)
A relaxed ScB3Ir3 crystal. Source: Alexandria via LeMat-Bulk, functional PBE-GGA.

Unit cell a=5.8264 b=5.8264 c=5.8264 alpha=90.00 beta=90.00 gamma=90.00
Element x y z (fractional)
Ir: 0.5000 0.0000 0.7500
Ir: 0.0000 0.2500 0.5000
B: 0.0000 0.5000 0.7500
Ir: 0.7500 0.5000 0.0000
B: 0.7500 0.0000 0.5000
B: 0.5000 0.7500 0.0000
B: 0.2500 0.0000 0.5000
Ir: 0.0000 0.7500 0.5000
Ir: 0.5000 0.0000 0.2500
Sc: 0.5000 0.5000 0.5000
B: 0.5000 0.2500 0.0000
B: 0.0000 0.5000 0.2500
Sc: 0.0000 0.0000 0.0000
Ir: 0.2500 0.5000 0.0000

Values from the calculation:
DOS at the Fermi energy: 1.8 states/eV/f.u.
E_tot: -54.64 eV/f.u.
Formation energy: -242 meV/atom



(3)
A relaxed SrZnCu crystal. Source: Alexandria via LeMat-Bulk, functional PBE-GGA.

Unit cell a=5.0552 b=5.0552 c=5.0552 alpha=60.00 beta=60.00 gamma=60.00
Element x y z (fractional)
Cu: 0.5000 0.5000 0.5000
Zn: 0.0000 0.0000 0.0000
Sr: 0.7500 0.7500 0.7500

Values from the calculation:
DOS at the Fermi energy: 2.0 states/eV/f.u.
E_tot: -5.87 eV/f.u.
Formation energy: 393 meV/atom



(4)
A relaxed LiSmMgGe crystal. Source: Alexandria via LeMat-Bulk, functional PBE-GGA.

Unit cell a=4.9242 b=4.9242 c=4.9242 alpha=60.00 beta=60.00 gamma=60.00
Element x y z (fractional)
Mg: 0.2500 0.2500 0.2500
Sm: 0.7500 0.7500 0.7500
Li: 0.0000 0.0000 0.0000
Ge: 0.5000 0.5000 0.5000

Values from the calculation:
DOS at the Fermi energy: 1.0 states/eV/f.u.
E_tot: -14.12 eV/f.u.
Formation energy: -320 meV/atom



(5)
A relaxed CsIn2Pd crystal. Source: Alexandria via LeMat-Bulk, functional PBE-GGA.

Unit cell a=4.7393 b=4.7393 c=7.5681 alpha=71.75 beta=71.75 gamma=60.00
Element x y z (fractional)
Cs: 0.5000 0.5000 0.5000
In: 0.3043 0.3043 0.0871
Pd: 0.0000 0.0000 0.0000
In: 0.6957 0.6957 0.9129

Values from the calculation:
DOS at the Fermi energy: 1.8 states/eV/f.u.
E_tot: -12.56 eV/f.u.
Formation energy: -259 meV/atom



(6)
A relaxed Pm2PaP crystal. Source: Alexandria via LeMat-Bulk, functional PBE-GGA.

Unit cell a=3.7348 b=3.7348 c=9.3449 alpha=78.47 beta=78.47 gamma=60.00
Element x y z (fractional)
Pm: 0.7322 0.7322 0.8035
Pm: 0.2678 0.2678 0.1965
P: 0.0000 0.0000 0.0000
Pa: 0.5000 0.5000 0.5000

Values from the calculation:
DOS at the Fermi energy: 3.0 states/eV/f.u.
E_tot: -26.05 eV/f.u.
Formation energy: -411 meV/atom



(7)
A relaxed CsPu2RhO8 crystal. Source: Alexandria via LeMat-Bulk, functional PBE-GGA.

Unit cell a=5.6771 b=5.6771 c=7.5209 alpha=90.00 beta=90.00 gamma=120.00
Last column: magnetic moment on the atom in μB.
Element x y z (fractional)
Rh: 0.0000 0.0000 0.5000  -0.21
O: 0.2861 0.3557 0.3798  -0.14
O: 0.9303 0.2861 0.6202  -0.14
O: 0.3333 0.6667 0.8315  -0.25
Cs: 0.0000 0.0000 0.0000  0.00
Pu: 0.3333 0.6667 0.5831  2.84
O: 0.0697 0.7139 0.3798  -0.14
O: 0.3557 0.0697 0.6202  -0.14
Pu: 0.6667 0.3333 0.4169  2.84
O: 0.6443 0.9303 0.3798  -0.14
O: 0.7139 0.6443 0.6202  -0.14
O: 0.6667 0.3333 0.1685  -0.25

Values from the calculation:
DOS at the Fermi energy: 3.5 states/eV/f.u.
E_tot: -99.44 eV/f.u.
Formation energy from raw total energies: -1909 meV per atom



(8)
A relaxed Rb4BiO5 crystal. Source: Alexandria via LeMat-Bulk, functional PBE-GGA.

Unit cell a=4.4511 b=7.7566 c=7.7566 alpha=85.28 beta=73.33 gamma=73.33
Last column: magnetic moment on the atom in μB.
Element x y z (fractional)
Bi: 0.9990 0.0000 0.0000  -0.03
O: 0.9203 0.2664 0.8912  0.19
O: 0.0779 0.7336 0.1088  0.19
Rb: 0.4008 0.8455 0.3506  0.00
O: 0.8114 0.1088 0.2664  0.19
Rb: 0.5969 0.1545 0.6494  0.00
O: 0.1867 0.8912 0.7336  0.19
Rb: 0.7514 0.6494 0.8455  0.00
O: 0.4991 0.0000 0.0000  0.11
Rb: 0.2463 0.3506 0.1545  0.00

Values from the calculation:
DOS at the Fermi energy: 5.8 states/eV/f.u.
E_tot: -43.84 eV/f.u.
Formation energy from raw total energies: -1129 meV per atom



(9)
A relaxed Be2FeOs2 crystal. Source: Alexandria via LeMat-Bulk, functional PBE-GGA.

Unit cell a=6.4546 b=6.4546 c=2.8242 alpha=90.00 beta=90.00 gamma=90.00
Element x y z (fractional)
Be: 0.8406 0.3406 0.5000
Fe: 0.5000 0.5000 0.0000
Os: 0.8611 0.6389 0.0000
Be: 0.1594 0.6594 0.5000
Os: 0.1389 0.3611 0.0000
Be: 0.3406 0.1594 0.5000
Os: 0.6389 0.1389 0.0000
Fe: 0.0000 0.0000 0.0000
Os: 0.3611 0.8611 0.0000
Be: 0.6594 0.8406 0.5000

Values from the calculation:
DOS at the Fermi energy: 5.9 states/eV/f.u.
E_tot: -36.55 eV/f.u.
Formation energy: 364 meV/atom



(10)
A relaxed Nd7Sb2N2 crystal. Source: Alexandria via LeMat-Bulk, functional PBE-GGA.

Unit cell a=6.9856 b=6.5011 c=6.9856 alpha=85.88 beta=109.71 gamma=94.12
Element x y z (fractional)
Nd: 0.5073 0.2260 0.0764
Nd: 0.4237 0.2179 0.5763
Nd: 0.4927 0.7740 0.9236
Nd: 0.9236 0.2260 0.4927
N: 0.2233 0.0318 0.7767
Nd: 0.0764 0.7740 0.5073
Nd: 0.0000 0.0000 0.0000
Nd: 0.5763 0.7821 0.4237
Sb: 0.8120 0.5000 0.8120
Sb: 0.1880 0.5000 0.1880
N: 0.7767 0.9682 0.2233

Values from the calculation:
DOS at the Fermi energy: 9.3 states/eV/f.u.
E_tot: -65.46 eV/f.u.
Formation energy from raw total energies: -654 meV per atom



(11)
A relaxed VP2Rh crystal. Source: Alexandria via LeMat-Bulk, functional PBE-GGA.

Unit cell a=4.1722 b=4.1722 c=4.1722 alpha=60.00 beta=60.00 gamma=60.00
Element x y z (fractional)
P: 0.2500 0.2500 0.2500
P: 0.7500 0.7500 0.7500
Rh: 0.5000 0.5000 0.5000
V: 0.0000 0.0000 0.0000

Values from the calculation:
DOS at the Fermi energy: 2.0 states/eV/f.u.
E_tot: -28.86 eV/f.u.
Formation energy: -393 meV/atom



(12)
A relaxed Li2SnSF crystal. Source: Alexandria via LeMat-Bulk, functional PBE-GGA.

Unit cell a=5.2942 b=4.2696 c=5.2942 alpha=90.00 beta=90.00 gamma=90.00
Element x y z (fractional)
Li: 0.0000 0.0000 0.5000
Li: 0.5000 0.0000 0.0000
F: 0.0000 0.5000 0.0000
S: 0.5000 0.5000 0.5000
Sn: 0.0000 0.0000 0.0000

Values from the calculation:
DOS at the Fermi energy: 3.1 states/eV/f.u.
E_tot: -15.77 eV/f.u.
Formation energy from raw total energies: -389 meV per atom



Please write out number 10 again, unchanged.
A relaxed Nd7Sb2N2 crystal. Source: Alexandria via LeMat-Bulk, functional PBE-GGA.

Unit cell a=6.9856 b=6.5011 c=6.9856 alpha=85.88 beta=109.71 gamma=94.12
Element x y z (fractional)
Nd: 0.5073 0.2260 0.0764
Nd: 0.4237 0.2179 0.5763
Nd: 0.4927 0.7740 0.9236
Nd: 0.9236 0.2260 0.4927
N: 0.2233 0.0318 0.7767
Nd: 0.0764 0.7740 0.5073
Nd: 0.0000 0.0000 0.0000
Nd: 0.5763 0.7821 0.4237
Sb: 0.8120 0.5000 0.8120
Sb: 0.1880 0.5000 0.1880
N: 0.7767 0.9682 0.2233

Values from the calculation:
DOS at the Fermi energy: 9.3 states/eV/f.u.
E_tot: -65.46 eV/f.u.
Formation energy from raw total energies: -654 meV per atom



> The highest DOS at the Fermi energy belongs to which entry?

Nd7Sb2N2



> Which value of E_tot does entry 3 give?

-5.87 eV/f.u.



Copy entry 4 word for word.
A relaxed LiSmMgGe crystal. Source: Alexandria via LeMat-Bulk, functional PBE-GGA.

Unit cell a=4.9242 b=4.9242 c=4.9242 alpha=60.00 beta=60.00 gamma=60.00
Element x y z (fractional)
Mg: 0.2500 0.2500 0.2500
Sm: 0.7500 0.7500 0.7500
Li: 0.0000 0.0000 0.0000
Ge: 0.5000 0.5000 0.5000

Values from the calculation:
DOS at the Fermi energy: 1.0 states/eV/f.u.
E_tot: -14.12 eV/f.u.
Formation energy: -320 meV/atom